4
Lattice="-1.7770 -2.1336 1.6521 2.6913 -2.2813 -0.0515 1.8118 4.7547 4.9297" Properties=species:S:1:pos:R:3 comment="CdAs2W | Alexandria via LeMat-Bulk | PBEsol | optimized geometry" spacegroup="Imm2 (44)" vol_a3_per_atom=19.01 m_tot_mub_per_atom=0.0000 formation_enthalpy_0k_kj_per_mol_atoms=22 pbc="T T T"
Cd 3.3706 1.1327 5.0883
As 1.2743 1.4306 3.2182
As 1.6389 -0.8115 0.7148
W 1.4024 -1.1462 3.1876